No. 1
Compound: Ba2SmScSe5
Source: Alexandria
Functional: PBE
Structure: relaxed

Cell lengths 4.427, 9.255, 13.863 Å; angles 90.00, 90.00, 103.84 degrees
Fractional coordinates of all 18 atoms:
Ba 0.859 0.717 0.808
Ba 0.106 0.212 0.688
Ba 0.141 0.283 0.308
Ba 0.894 0.788 0.188
Sm 0.787 0.575 0.517
Sm 0.213 0.425 0.017
Sc 0.528 0.057 0.952
Sc 0.472 0.943 0.452
Se 0.374 0.749 0.999
Se 0.676 0.353 0.881
Se 0.490 0.980 0.774
Se 0.283 0.567 0.657
Se 0.950 0.900 0.548
Se 0.626 0.251 0.499
Se 0.324 0.647 0.381
Se 0.510 0.020 0.274
Se 0.717 0.433 0.157
Se 0.050 0.100 0.048

Summary:
- VASP energy: -5.5032 eV per atom
- SG: Cmc2_1 (36)
- N(E_F): 0.0 states/eV/cell
- Formation energy without anion corrections: -1912 meV/atom
- Magnetic moment: 0.0 μB/f.u.

***

No. 2
Compound: MoSe2
Source: Alexandria
Functional: PBE
Structure: relaxed

Cell lengths 14.052, 14.052, 14.052 Å; angles 167.39, 167.39, 17.87 degrees
Fractional coordinates of all 6 atoms:
Mo 0.500 0.500 0.000
Mo 0.250 0.750 0.500
Se 0.944 0.944 0.000
Se 0.806 0.306 0.500
Se 0.056 0.056 0.000
Se 0.694 0.194 0.500

Summary:
- VASP energy: -6.2740 eV per atom
- SG: I4_1/amd (141)
- N(E_F): 3.4 states/eV/cell
- Formation energy without anion corrections: -341 meV/atom
- Magnetic moment: 0.0 μB/f.u.

***

No. 3
Compound: Dy5O
Source: Alexandria
Functional: PBE
Structure: relaxed

Cell lengths 6.267, 3.295, 8.903 Å; angles 100.66, 90.00, 90.00 degrees
Fractional coordinates of all 6 atoms:
O 0.000 0.000 0.000
Dy 0.500 0.833 0.667
Dy 0.000 0.594 0.189
Dy 0.500 0.500 0.000
Dy 0.000 0.406 0.811
Dy 0.500 0.167 0.333

Summary:
- VASP energy: -5.0615 eV per atom
- SG: Cmmm (65)
- N(E_F): 8.9 states/eV/cell
- Formation energy without anion corrections: -400 meV/atom
- Magnetic moment: 0.0 μB/f.u.